[1]
Here is a relaxed Ca2RuCl crystal from the Alexandria database. Energies are from PBEsol.

Output
SG: P4/mmm, No. 123
VASP energy: -18.18 eV per cell
relative energy among the computed polymorphs: 18.0 kJ per mole of atoms

a b c (Å): 5.1205 5.1205 3.1351
angles (deg): 90.00 90.00 90.00
Sites, in units of the cell vectors:
1 Ca 0.0000 0.5000 0.0000
2 Ca 0.5000 0.0000 0.0000
3 Ru 0.0000 0.0000 0.5000
4 Cl 0.5000 0.5000 0.5000



[2]
Here is a relaxed ZrCuRu2 crystal from the Alexandria database. Energies are from PBEsol.

Output
SG: P4mm, No. 99
VASP energy: -33.55 eV per cell

a b c (Å): 3.2735 3.2735 5.5431
angles (deg): 90.00 90.00 90.00
Sites, in units of the cell vectors:
1 Zr 0.0000 0.0000 0.0000
2 Cu 0.5000 0.5000 0.2645
3 Ru 0.0000 0.0000 0.4898
4 Ru 0.5000 0.5000 0.7344



[3]
Here is a relaxed Zr2HgAu crystal from the Alexandria database. Energies are from PBEsol.

Output
SG: R-3m, No. 166
VASP energy: -23.41 eV per cell

a b c (Å): 9.8272 9.8272 9.8272
angles (deg): 18.29 18.29 18.29
Sites, in units of the cell vectors:
1 Zr 0.2466 0.2466 0.2466
2 Zr 0.7534 0.7534 0.7534
3 Hg 0.0000 0.0000 0.0000
4 Au 0.5000 0.5000 0.5000



[4]
Here is a relaxed Zn2InP crystal from the Alexandria database. Energies are from PBEsol.

Output
SG: F-43m, No. 216
VASP energy: -10.72 eV per cell

a b c (Å): 4.6656 4.6656 4.6656
angles (deg): 60.00 60.00 60.00
Sites, in units of the cell vectors:
1 Zn 0.0000 0.0000 0.0000
2 Zn 0.2500 0.2500 0.2500
3 In 0.7500 0.7500 0.7500
4 P 0.5000 0.5000 0.5000



[5]
Here is a relaxed CrBPbO4 crystal from the Alexandria database. Energies are from PBEsol.

Output
SG: Pnma, No. 62
VASP energy: -222.74 eV per cell

a b c (Å): 6.9299 5.9399 8.1187
angles (deg): 90.00 90.00 90.00
Sites, in units of the cell vectors:
1 Cr 0.0000 0.0000 0.0000
2 Cr 0.0000 0.5000 0.0000
3 Cr 0.5000 0.0000 0.5000
4 Cr 0.5000 0.5000 0.5000
5 B 0.2239 0.2500 0.2644
6 B 0.2761 0.7500 0.7644
7 B 0.7239 0.2500 0.2356
8 B 0.7761 0.7500 0.7356
9 Pb 0.0590 0.7500 0.3661
10 Pb 0.4410 0.2500 0.8661
11 Pb 0.5590 0.7500 0.1339
12 Pb 0.9410 0.2500 0.6339
13 O 0.1060 0.2500 0.8803
14 O 0.1695 0.7500 0.9097
15 O 0.1699 0.0477 0.1938
16 O 0.1699 0.4523 0.1938
17 O 0.3301 0.5477 0.6938
18 O 0.3301 0.9523 0.6938
19 O 0.3305 0.2500 0.4097
20 O 0.3940 0.7500 0.3803
21 O 0.6060 0.2500 0.6197
22 O 0.6695 0.7500 0.5903
23 O 0.6699 0.0477 0.3062
24 O 0.6699 0.4523 0.3062
25 O 0.8301 0.5477 0.8062
26 O 0.8301 0.9523 0.8062
27 O 0.8305 0.2500 0.0903
28 O 0.8940 0.7500 0.1197



[6]
Here is a relaxed MnFe2Se crystal from the Alexandria database. Energies are from PBEsol.

Output
SG: R3m, No. 160
VASP energy: -30.17 eV per cell

a b c (Å): 7.5929 7.5929 7.5929
angles (deg): 21.09 21.09 21.09
Sites, in units of the cell vectors:
1 Mn 0.0000 0.0000 0.0000
2 Fe 0.2500 0.2500 0.2500
3 Fe 0.5015 0.5015 0.5015
4 Se 0.7470 0.7470 0.7470



[7]
Here is a relaxed Sb2OsPt crystal from the Alexandria database. Energies are from PBEsol.

Output
SG: P4/mmm, No. 123
VASP energy: -27.04 eV per cell
relative energy among the computed polymorphs: 0.0 kJ per mole of atoms

a b c (Å): 3.2188 3.2188 7.0150
angles (deg): 90.00 90.00 90.00
Sites, in units of the cell vectors:
1 Sb 0.0000 0.0000 0.2417
2 Sb 0.0000 0.0000 0.7583
3 Os 0.5000 0.5000 0.0000
4 Pt 0.5000 0.5000 0.5000



[8]
Here is a relaxed La3Sc crystal from the Alexandria database. Energies are from PBEsol.

Output
SG: Pnma, No. 62
VASP energy: -90.15 eV per cell

a b c (Å): 6.1490 11.3024 7.0930
angles (deg): 90.00 90.00 90.00
Sites, in units of the cell vectors:
1 La 0.0811 0.2500 0.1287
2 La 0.2452 0.5065 0.3836
3 La 0.2452 0.9935 0.3836
4 La 0.2548 0.0065 0.8836
5 La 0.2548 0.4935 0.8836
6 La 0.4189 0.7500 0.6287
7 La 0.5811 0.2500 0.3713
8 La 0.7452 0.5065 0.1164
9 La 0.7452 0.9935 0.1164
10 La 0.7548 0.0065 0.6164
11 La 0.7548 0.4935 0.6164
12 La 0.9189 0.7500 0.8713
13 Sc 0.0918 0.2500 0.6327
14 Sc 0.4082 0.7500 0.1327
15 Sc 0.5918 0.2500 0.8673
16 Sc 0.9082 0.7500 0.3673